# 1
Mg2BiPd2: PBEsol geometry, meta-GGA SCAN.

a b c (Å): 3.1794 7.6308 7.6308
angles (deg): 90.00 90.00 90.00
With the nearest neighbours (Å) after each atom.
Sites, in units of the cell vectors:
Mg1 0.5000 0.6527 0.8473  6 Pd 2.73-2.76
Mg2 0.5000 0.8473 0.3473  6 Pd 2.73-2.76
Mg3 0.5000 0.1527 0.6527  6 Pd 2.73-2.76
Mg4 0.5000 0.3473 0.1527  6 Pd 2.73-2.76
Pd1 0.0000 0.6378 0.1378  6 Mg 2.73-2.76, 2 Bi 2.96, 1 Pd 2.97
Pd2 0.0000 0.8622 0.6378  6 Mg 2.73-2.76, 2 Bi 2.96, 1 Pd 2.97
Pd3 0.0000 0.1378 0.3622  6 Mg 2.73-2.76, 2 Bi 2.96, 1 Pd 2.97
Pd4 0.0000 0.3622 0.8622  6 Mg 2.73-2.76, 2 Bi 2.96, 1 Pd 2.97
Bi1 0.0000 0.0000 0.0000  4 Pd 2.96, 2 Bi 3.18, 8 Mg 3.30
Bi2 0.0000 0.5000 0.5000  4 Pd 2.96, 2 Bi 3.18, 8 Mg 3.30

The value obtained for the density of states at the Fermi level is 0.403 states/eV/atom. The formation energy is -531.0 meV per atom. Its size of the total moment is 0.000 μB/atom. The calculation puts the total energy at -31.3462 eV/atom.


# 2
MgRe2BiPd: PBEsol geometry, meta-GGA SCAN.

a b c (Å): 4.9304 4.9304 5.0333
angles (deg): 90.00 90.00 90.00
With the nearest neighbours (Å) after each atom.
Sites, in units of the cell vectors:
Re1 0.5000 0.0000 0.0000  2 Bi 2.47
Re2 0.0000 0.5000 0.0000  2 Bi 2.47
Pd1 0.5000 0.5000 0.5000  4 Mg 3.49, 8 Re 3.52
Mg1 0.0000 0.0000 0.5000  2 Bi 2.52
Bi1 0.0000 0.0000 0.0000  4 Re 2.47, 2 Mg 2.52

The value obtained for the density of states at the Fermi level is 0.938 states/eV/atom. The formation energy is 2553.4 meV per atom. Its size of the total moment is 0.102 μB/atom. The calculation puts the total energy at -49.1511 eV/atom.


# 3
MgScRe2Bi: PBEsol geometry, meta-GGA SCAN.

a b c (Å): 4.9268 4.9879 4.9879
angles (deg): 90.00 90.00 90.00
With the nearest neighbours (Å) after each atom.
Sites, in units of the cell vectors:
Sc1 0.5000 0.5000 0.5000  8 Re 3.51, 4 Mg 3.53
Re1 0.0000 0.5000 0.0000  2 Bi 2.49
Re2 0.0000 0.0000 0.5000  2 Bi 2.49
Mg1 0.5000 0.0000 0.0000  2 Bi 2.46
Bi1 0.0000 0.0000 0.0000  2 Mg 2.46, 4 Re 2.49

The value obtained for the density of states at the Fermi level is 0.934 states/eV/atom. The formation energy is 1938.3 meV per atom. Its size of the total moment is 0.325 μB/atom. The calculation puts the total energy at -46.0588 eV/atom.


# 4
MgBiRh2: PBEsol geometry, meta-GGA SCAN.

a b c (Å): 4.5527 4.5527 4.5527
angles (deg): 60.00 60.00 60.00
With the nearest neighbours (Å) after each atom.
Sites, in units of the cell vectors:
Rh1 0.7500 0.7500 0.7500  4 Bi 2.79, 4 Mg 2.79
Rh2 0.2500 0.2500 0.2500  4 Bi 2.79, 4 Mg 2.79
Mg1 0.0000 0.0000 0.0000  8 Rh 2.79
Bi1 0.5000 0.5000 0.5000  8 Rh 2.79

The value obtained for the density of states at the Fermi level is 0.368 states/eV/atom. The formation energy is -284.4 meV per atom. Its size of the total moment is 0.240 μB/atom. The calculation puts the total energy at -38.0585 eV/atom.


# 5
MgBiS2: PBEsol geometry, meta-GGA SCAN.

a b c (Å): 3.6781 3.6781 8.2782
angles (deg): 77.16 77.16 60.00
With the nearest neighbours (Å) after each atom.
Sites, in units of the cell vectors:
S1 0.1097 0.1097 0.6708  3 Mg 2.53, 1 Bi 2.63
S2 0.8903 0.8903 0.3292  3 Mg 2.53, 1 Bi 2.63
Mg1 0.5000 0.5000 0.5000  6 S 2.53
Bi1 0.0000 0.0000 0.0000  2 S 2.63

The value obtained for the density of states at the Fermi level is 0.701 states/eV/atom. Its size of the total moment is 0.000 μB/atom. The calculation puts the total energy at -26.3353 eV/atom. The calculation puts the uncorrected formation energy at -0.633 eV per atom.


# 6
Mg3BiS: PBEsol geometry, meta-GGA SCAN.

a b c (Å): 5.3996 5.3996 5.3996
angles (deg): 90.00 90.00 90.00
With the nearest neighbours (Å) after each atom.
Sites, in units of the cell vectors:
Mg1 0.0000 0.0000 0.5000  2 Bi 2.70
Mg2 0.5000 0.0000 0.0000  2 Bi 2.70
Mg3 0.0000 0.5000 0.0000  2 Bi 2.70
Bi1 0.0000 0.0000 0.0000  6 Mg 2.70
S1 0.5000 0.5000 0.5000  12 Mg 3.82

The value obtained for the density of states at the Fermi level is 0.548 states/eV/atom. Its size of the total moment is 0.000 μB/atom. The calculation puts the total energy at -20.3128 eV/atom. The calculation puts the uncorrected formation energy at 0.313 eV per atom.